No. 1
# SrLiGa2Ir | the Alexandria database | PBE-GGA | relaxed
data_SrLiGa2Ir
_cell_length_a 4.802
_cell_length_b 4.802
_cell_length_c 4.916
_cell_angle_alpha 90.00
_cell_angle_beta 90.00
_cell_angle_gamma 90.00
_symmetry_space_group_name_H-M 'P 4/m m m'
_symmetry_Int_Tables_number 123
_symmetry_space_group_name_Hall '-P 4 2'
loop_
_atom_site_label
_atom_site_fract_x
_atom_site_fract_y
_atom_site_fract_z
Sr1 0.000 0.000 0.000
Li1 0.500 0.500 0.000
Ga1 0.000 0.500 0.500
Ir1 0.500 0.500 0.500
# Total energy (eV for the cell shown): -20.62

No. 2
# Rh2PbW | the Alexandria database | PBE-GGA | relaxed
data_Rh2PbW
_cell_length_a 9.391
_cell_length_b 2.971
_cell_length_c 4.927
_cell_angle_alpha 90.00
_cell_angle_beta 99.41
_cell_angle_gamma 90.00
_symmetry_space_group_name_H-M 'C 1 m 1'
_symmetry_Int_Tables_number 8
_symmetry_space_group_name_Hall 'C -2y'
loop_
_atom_site_label
_atom_site_fract_x
_atom_site_fract_y
_atom_site_fract_z
Rh1 0.000 0.000 0.000
Rh2 0.249 0.500 0.289
Pb1 0.001 0.500 0.503
W1 0.262 0.000 0.837
# Total energy (eV for the cell shown): -60.75

No. 3
# Rb2Cd4In3Ag | the Alexandria database | PBE-GGA | relaxed
data_Rb2Cd4In3Ag
_cell_length_a 5.087
_cell_length_b 5.087
_cell_length_c 11.947
_cell_angle_alpha 90.00
_cell_angle_beta 90.00
_cell_angle_gamma 90.00
_symmetry_space_group_name_H-M 'P -4 m 2'
_symmetry_Int_Tables_number 115
_symmetry_space_group_name_Hall 'P -4 -2'
loop_
_atom_site_label
_atom_site_fract_x
_atom_site_fract_y
_atom_site_fract_z
Rb1 0.000 0.500 0.246
Cd1 0.000 0.000 0.500
Cd2 0.000 0.500 0.879
Cd3 0.500 0.500 0.500
In1 0.000 0.000 0.000
In2 0.000 0.500 0.631
Ag1 0.500 0.500 0.000
# Total energy (eV for the cell shown): -17.09

No. 4
# Ca2Al2Pb | the Alexandria database | PBE-GGA | relaxed
data_Ca2Al2Pb
_cell_length_a 7.500
_cell_length_b 7.500
_cell_length_c 4.816
_cell_angle_alpha 90.00
_cell_angle_beta 90.00
_cell_angle_gamma 90.00
_symmetry_space_group_name_H-M 'P 4/m b m'
_symmetry_Int_Tables_number 127
_symmetry_space_group_name_Hall '-P 4 2ab'
loop_
_atom_site_label
_atom_site_fract_x
_atom_site_fract_y
_atom_site_fract_z
Ca1 0.173 0.327 0.000
Al1 0.123 0.623 0.500
Pb1 0.000 0.000 0.500
# Total energy (eV for the cell shown): -32.84

No. 5
# TaSnGe2 | the Alexandria database | PBE-GGA | relaxed
data_TaSnGe2
_cell_length_a 6.119
_cell_length_b 6.119
_cell_length_c 12.046
_cell_angle_alpha 90.00
_cell_angle_beta 90.00
_cell_angle_gamma 90.00
_symmetry_space_group_name_H-M 'I -4 2 d'
_symmetry_Int_Tables_number 122
_symmetry_space_group_name_Hall 'I -4 2bw'
loop_
_atom_site_label
_atom_site_fract_x
_atom_site_fract_y
_atom_site_fract_z
Ta1 0.000 0.000 0.000
Sn1 0.000 0.000 0.500
Ge1 0.223 0.250 0.125
# Total energy (eV for the cell shown): -90.94

No. 6
# SmSnPt3 | the Alexandria database | PBE-GGA | relaxed
data_SmSnPt3
_cell_length_a 5.561
_cell_length_b 7.689
_cell_length_c 5.317
_cell_angle_alpha 90.00
_cell_angle_beta 90.00
_cell_angle_gamma 90.00
_symmetry_space_group_name_H-M 'P b a m'
_symmetry_Int_Tables_number 55
_symmetry_space_group_name_Hall '-P 2 2ab'
loop_
_atom_site_label
_atom_site_fract_x
_atom_site_fract_y
_atom_site_fract_z
Sm1 0.000 0.000 0.000
Sn1 0.000 0.500 0.500
Pt1 0.000 0.500 0.000
Pt2 0.081 0.169 0.500
# Total energy (eV for the cell shown): -58.82

No. 7
# Bi2RuCl | the Alexandria database | PBE-GGA | relaxed
data_Bi2RuCl
_cell_length_a 7.080
_cell_length_b 7.080
_cell_length_c 7.080
_cell_angle_alpha 90.00
_cell_angle_beta 90.00
_cell_angle_gamma 90.00
_symmetry_space_group_name_H-M 'F m -3 m'
_symmetry_Int_Tables_number 225
_symmetry_space_group_name_Hall '-F 4 2 3'
loop_
_atom_site_label
_atom_site_fract_x
_atom_site_fract_y
_atom_site_fract_z
Bi1 0.250 0.250 0.250
Ru1 0.000 0.000 0.000
Cl1 0.000 0.000 0.500
# Total energy (eV for the cell shown): -69.41

No. 8
# AcIClF | the Alexandria database | PBE-GGA | relaxed
data_AcIClF
_cell_length_a 4.4124
_cell_length_b 4.4124
_cell_length_c 23.2635
_cell_angle_alpha 90.00
_cell_angle_beta 90.00
_cell_angle_gamma 120.00
_symmetry_space_group_name_H-M 'R 3 m'
_symmetry_Int_Tables_number 160
_symmetry_space_group_name_Hall 'R 3 -2"'
loop_
_atom_site_label
_atom_site_fract_x
_atom_site_fract_y
_atom_site_fract_z
Ac1 0.0000 0.0000 0.0000
I1 0.0000 0.0000 0.2337
Cl1 0.0000 0.0000 0.4075
F1 0.0000 0.0000 0.6673
# Total energy (eV for the cell shown): -61.40